Entry 1:
# KCoPb2 GGA-PBEsol optimized geometry
data_KCoPb2
_chemical_formula_sum 'K1 Co1 Pb2'
_cell_length_a 3.611
_cell_length_b 3.611
_cell_length_c 8.491
_cell_angle_alpha 90.00
_cell_angle_beta 90.00
_cell_angle_gamma 90.00
_space_group_name_H-M_alt 'P 1'
_space_group_IT_number 1
loop_
_space_group_symop_operation_xyz
'x,y,z'
loop_
_atom_site_label
_atom_site_type_symbol
_atom_site_fract_x
_atom_site_fract_y
_atom_site_fract_z
_atom_site_occupancy
Co1 Co 0.000 0.000 0.355 1
Pb1 Pb 0.000 0.000 0.052 1
Pb2 Pb 0.500 0.500 0.348 1
K1 K 0.500 0.500 0.745 1
# Calculated volume: 110.7 Å³/f.u.
# E_form: 0.32 eV per atom

Entry 2:
# KCo2Pt GGA-PBEsol optimized geometry
data_KCo2Pt
_chemical_formula_sum 'K1 Co2 Pt1'
_cell_length_a 4.068
_cell_length_b 4.068
_cell_length_c 4.746
_cell_angle_alpha 115.37
_cell_angle_beta 115.37
_cell_angle_gamma 90.00
_space_group_name_H-M_alt 'P 1'
_space_group_IT_number 1
loop_
_space_group_symop_operation_xyz
'x,y,z'
loop_
_atom_site_label
_atom_site_type_symbol
_atom_site_fract_x
_atom_site_fract_y
_atom_site_fract_z
_atom_site_occupancy
Co1 Co 0.000 0.000 0.000 1
Pt1 Pt 0.250 0.750 0.500 1
Co2 Co 0.750 0.250 0.500 1
K1 K 0.500 0.500 0.000 1
# Calculated volume: 62.5 Å³/f.u.
# E_form: 1.11 eV per atom

Entry 3:
# K3CoPt GGA-PBEsol optimized geometry
data_K3CoPt
_chemical_formula_sum 'K3 Co1 Pt1'
_cell_length_a 5.991
_cell_length_b 5.991
_cell_length_c 5.991
_cell_angle_alpha 90.00
_cell_angle_beta 90.00
_cell_angle_gamma 90.00
_space_group_name_H-M_alt 'P 1'
_space_group_IT_number 1
loop_
_space_group_symop_operation_xyz
'x,y,z'
loop_
_atom_site_label
_atom_site_type_symbol
_atom_site_fract_x
_atom_site_fract_y
_atom_site_fract_z
_atom_site_occupancy
Co1 Co 0.500 0.500 0.500 1
K1 K 0.000 0.500 0.000 1
Pt1 Pt 0.000 0.000 0.000 1
K2 K 0.500 0.000 0.000 1
K3 K 0.000 0.000 0.500 1
# Calculated volume: 215.0 Å³/f.u.
# E_form: 0.91 eV per atom

Entry 4:
# KCo2Pt GGA-PBEsol optimized geometry
data_KCo2Pt
_chemical_formula_sum 'K1 Co2 Pt1'
_cell_length_a 2.620
_cell_length_b 4.864
_cell_length_c 4.864
_cell_angle_alpha 105.92
_cell_angle_beta 90.00
_cell_angle_gamma 90.00
_space_group_name_H-M_alt 'P 1'
_space_group_IT_number 1
loop_
_space_group_symop_operation_xyz
'x,y,z'
loop_
_atom_site_label
_atom_site_type_symbol
_atom_site_fract_x
_atom_site_fract_y
_atom_site_fract_z
_atom_site_occupancy
Pt1 Pt 0.500 0.500 0.500 1
Co1 Co 0.000 0.000 0.500 1
Co2 Co 0.000 0.500 0.000 1
K1 K 0.500 0.000 0.000 1
# Calculated volume: 59.6 Å³/f.u.
# E_form: 0.89 eV per atom

Entry 5:
# K2RbCo GGA-PBEsol optimized geometry
data_K2RbCo
_chemical_formula_sum 'K2 Rb1 Co1'
_cell_length_a 6.184
_cell_length_b 6.184
_cell_length_c 6.184
_cell_angle_alpha 60.00
_cell_angle_beta 60.00
_cell_angle_gamma 60.00
_space_group_name_H-M_alt 'P 1'
_space_group_IT_number 1
loop_
_space_group_symop_operation_xyz
'x,y,z'
loop_
_atom_site_label
_atom_site_type_symbol
_atom_site_fract_x
_atom_site_fract_y
_atom_site_fract_z
_atom_site_occupancy
Co1 Co 0.000 0.000 0.000 1
K1 K 0.750 0.750 0.750 1
Rb1 Rb 0.500 0.500 0.500 1
K2 K 0.250 0.250 0.250 1
# Calculated volume: 167.2 Å³/f.u.
# E_form: 0.94 eV per atom

Entry 6:
# KCoRe GGA-PBEsol optimized geometry
data_KCoRe
_chemical_formula_sum 'K1 Co1 Re1'
_cell_length_a 4.509
_cell_length_b 4.509
_cell_length_c 4.509
_cell_angle_alpha 60.00
_cell_angle_beta 60.00
_cell_angle_gamma 60.00
_space_group_name_H-M_alt 'P 1'
_space_group_IT_number 1
loop_
_space_group_symop_operation_xyz
'x,y,z'
loop_
_atom_site_label
_atom_site_type_symbol
_atom_site_fract_x
_atom_site_fract_y
_atom_site_fract_z
_atom_site_occupancy
Re1 Re 0.000 0.000 0.000 1
Co1 Co 0.500 0.500 0.500 1
K1 K 0.750 0.750 0.750 1
# Calculated volume: 64.8 Å³/f.u.
# E_form: 3.35 eV per atom

Entry 7:
# KCoRe GGA-PBEsol optimized geometry
data_KCoRe
_chemical_formula_sum 'K1 Co1 Re1'
_cell_length_a 2.514
_cell_length_b 4.849
_cell_length_c 4.849
_cell_angle_alpha 120.00
_cell_angle_beta 90.00
_cell_angle_gamma 90.00
_space_group_name_H-M_alt 'P 1'
_space_group_IT_number 1
loop_
_space_group_symop_operation_xyz
'x,y,z'
loop_
_atom_site_label
_atom_site_type_symbol
_atom_site_fract_x
_atom_site_fract_y
_atom_site_fract_z
_atom_site_occupancy
K1 K 0.667 0.333 0.667 1
Co1 Co 0.160 0.000 0.000 1
Re1 Re 0.173 0.667 0.333 1
# Calculated volume: 51.2 Å³/f.u.
# E_form: 1.74 eV per atom

Entry 8:
# K2CoRe GGA-PBEsol optimized geometry
data_K2CoRe
_chemical_formula_sum 'K2 Co1 Re1'
_cell_length_a 3.093
_cell_length_b 3.093
_cell_length_c 10.489
_cell_angle_alpha 90.00
_cell_angle_beta 90.00
_cell_angle_gamma 90.00
_space_group_name_H-M_alt 'P 1'
_space_group_IT_number 1
loop_
_space_group_symop_operation_xyz
'x,y,z'
loop_
_atom_site_label
_atom_site_type_symbol
_atom_site_fract_x
_atom_site_fract_y
_atom_site_fract_z
_atom_site_occupancy
K1 K 0.000 0.000 0.914 1
Re1 Re 0.000 0.000 0.584 1
K2 K 0.500 0.500 0.328 1
Co1 Co 0.500 0.500 0.674 1
# Calculated volume: 100.4 Å³/f.u.
# E_form: 0.89 eV per atom

Entry 9:
# K2CoRe GGA-PBEsol optimized geometry
data_K2CoRe
_chemical_formula_sum 'K2 Co1 Re1'
_cell_length_a 4.895
_cell_length_b 4.895
_cell_length_c 4.895
_cell_angle_alpha 60.00
_cell_angle_beta 60.00
_cell_angle_gamma 60.00
_space_group_name_H-M_alt 'P 1'
_space_group_IT_number 1
loop_
_space_group_symop_operation_xyz
'x,y,z'
loop_
_atom_site_label
_atom_site_type_symbol
_atom_site_fract_x
_atom_site_fract_y
_atom_site_fract_z
_atom_site_occupancy
K1 K 0.000 0.000 0.000 1
Co1 Co 0.500 0.500 0.500 1
K2 K 0.750 0.750 0.750 1
Re1 Re 0.250 0.250 0.250 1
# Calculated volume: 83.0 Å³/f.u.
# E_form: 1.92 eV per atom

Entry 10:
# KCoRh2 GGA-PBEsol optimized geometry
data_KCoRh2
_chemical_formula_sum 'K1 Co1 Rh2'
_cell_length_a 2.723
_cell_length_b 2.723
_cell_length_c 9.662
_cell_angle_alpha 81.90
_cell_angle_beta 81.90
_cell_angle_gamma 60.00
_space_group_name_H-M_alt 'P 1'
_space_group_IT_number 1
loop_
_space_group_symop_operation_xyz
'x,y,z'
loop_
_atom_site_label
_atom_site_type_symbol
_atom_site_fract_x
_atom_site_fract_y
_atom_site_fract_z
_atom_site_occupancy
Rh1 Rh 0.236 0.236 0.291 1
Co1 Co 0.500 0.500 0.500 1
K1 K 0.000 0.000 0.000 1
Rh2 Rh 0.764 0.764 0.709 1
# Calculated volume: 61.2 Å³/f.u.
# E_form: 0.56 eV per atom

Entry 11:
# KCoRh2 GGA-PBEsol optimized geometry
data_KCoRh2
_chemical_formula_sum 'K1 Co1 Rh2'
_cell_length_a 2.751
_cell_length_b 4.735
_cell_length_c 4.735
_cell_angle_alpha 90.00
_cell_angle_beta 90.00
_cell_angle_gamma 90.00
_space_group_name_H-M_alt 'P 1'
_space_group_IT_number 1
loop_
_space_group_symop_operation_xyz
'x,y,z'
loop_
_atom_site_label
_atom_site_type_symbol
_atom_site_fract_x
_atom_site_fract_y
_atom_site_fract_z
_atom_site_occupancy
Rh1 Rh 0.000 0.000 0.500 1
K1 K 0.500 0.000 0.000 1
Rh2 Rh 0.000 0.500 0.000 1
Co1 Co 0.500 0.500 0.500 1
# Calculated volume: 61.7 Å³/f.u.
# E_form: 1.11 eV per atom

Entry 12:
# KCoRh2 GGA-PBEsol optimized geometry
data_KCoRh2
_chemical_formula_sum 'K1 Co1 Rh2'
_cell_length_a 2.648
_cell_length_b 4.907
_cell_length_c 5.642
_cell_angle_alpha 115.78
_cell_angle_beta 103.58
_cell_angle_gamma 90.00
_space_group_name_H-M_alt 'P 1'
_space_group_IT_number 1
loop_
_space_group_symop_operation_xyz
'x,y,z'
loop_
_atom_site_label
_atom_site_type_symbol
_atom_site_fract_x
_atom_site_fract_y
_atom_site_fract_z
_atom_site_occupancy
Rh1 Rh 0.214 0.214 0.428 1
Co1 Co 0.500 0.000 0.000 1
Rh2 Rh 0.786 0.786 0.572 1
K1 K 0.000 0.500 0.000 1
# Calculated volume: 63.7 Å³/f.u.
# E_form: 0.75 eV per atom

Entry 13:
# KCo2Rh GGA-PBEsol optimized geometry
data_KCo2Rh
_chemical_formula_sum 'K1 Co2 Rh1'
_cell_length_a 4.364
_cell_length_b 4.364
_cell_length_c 4.364
_cell_angle_alpha 60.00
_cell_angle_beta 60.00
_cell_angle_gamma 60.00
_space_group_name_H-M_alt 'P 1'
_space_group_IT_number 1
loop_
_space_group_symop_operation_xyz
'x,y,z'
loop_
_atom_site_label
_atom_site_type_symbol
_atom_site_fract_x
_atom_site_fract_y
_atom_site_fract_z
_atom_site_occupancy
Rh1 Rh 0.250 0.250 0.250 1
K1 K 0.500 0.500 0.500 1
Co1 Co 0.750 0.750 0.750 1
Co2 Co 0.000 0.000 0.000 1
# Calculated volume: 58.7 Å³/f.u.
# E_form: 1.22 eV per atom

Entry 14:
# KCo2Rh GGA-PBEsol optimized geometry
data_KCo2Rh
_chemical_formula_sum 'K1 Co2 Rh1'
_cell_length_a 2.673
_cell_length_b 2.673
_cell_length_c 9.740
_cell_angle_alpha 82.11
_cell_angle_beta 82.11
_cell_angle_gamma 60.00
_space_group_name_H-M_alt 'P 1'
_space_group_IT_number 1
loop_
_space_group_symop_operation_xyz
'x,y,z'
loop_
_atom_site_label
_atom_site_type_symbol
_atom_site_fract_x
_atom_site_fract_y
_atom_site_fract_z
_atom_site_occupancy
Co1 Co 0.263 0.263 0.211 1
K1 K 0.500 0.500 0.500 1
Co2 Co 0.737 0.737 0.789 1
Rh1 Rh 0.000 0.000 0.000 1
# Calculated volume: 59.5 Å³/f.u.
# E_form: 0.81 eV per atom

Entry 15:
# KCoRu2 GGA-PBEsol optimized geometry
data_KCoRu2
_chemical_formula_sum 'K1 Co1 Ru2'
_cell_length_a 2.859
_cell_length_b 2.859
_cell_length_c 8.202
_cell_angle_alpha 90.00
_cell_angle_beta 90.00
_cell_angle_gamma 90.00
_space_group_name_H-M_alt 'P 1'
_space_group_IT_number 1
loop_
_space_group_symop_operation_xyz
'x,y,z'
loop_
_atom_site_label
_atom_site_type_symbol
_atom_site_fract_x
_atom_site_fract_y
_atom_site_fract_z
_atom_site_occupancy
Co1 Co 0.500 0.500 0.000 1
K1 K 0.500 0.500 0.500 1
Ru1 Ru 0.000 0.000 0.164 1
Ru2 Ru 0.000 0.000 0.836 1
# Calculated volume: 67.0 Å³/f.u.
# E_form: 0.92 eV per atom

Entry 16:
# KCoRu2 GGA-PBEsol optimized geometry
data_KCoRu2
_chemical_formula_sum 'K1 Co1 Ru2'
_cell_length_a 2.640
_cell_length_b 2.640
_cell_length_c 9.772
_cell_angle_alpha 90.00
_cell_angle_beta 90.00
_cell_angle_gamma 116.59
_space_group_name_H-M_alt 'P 1'
_space_group_IT_number 1
loop_
_space_group_symop_operation_xyz
'x,y,z'
loop_
_atom_site_label
_atom_site_type_symbol
_atom_site_fract_x
_atom_site_fract_y
_atom_site_fract_z
_atom_site_occupancy
Ru1 Ru 0.000 0.000 0.708 1
Ru2 Ru 0.000 0.000 0.292 1
Co1 Co 0.500 0.500 0.500 1
K1 K 0.500 0.500 0.000 1
# Calculated volume: 60.9 Å³/f.u.
# E_form: 0.93 eV per atom

Entry 17:
# KCoRu GGA-PBEsol optimized geometry
data_KCoRu
_chemical_formula_sum 'K1 Co1 Ru1'
_cell_length_a 3.027
_cell_length_b 3.027
_cell_length_c 6.587
_cell_angle_alpha 103.28
_cell_angle_beta 103.28
_cell_angle_gamma 90.00
_space_group_name_H-M_alt 'P 1'
_space_group_IT_number 1
loop_
_space_group_symop_operation_xyz
'x,y,z'
loop_
_atom_site_label
_atom_site_type_symbol
_atom_site_fract_x
_atom_site_fract_y
_atom_site_fract_z
_atom_site_occupancy
Co1 Co 0.956 0.956 0.912 1
Ru1 Ru 0.380 0.380 0.759 1
K1 K 0.665 0.665 0.329 1
# Calculated volume: 57.1 Å³/f.u.
# E_form: 0.89 eV per atom

Entry 18:
# KCoRu2W GGA-PBEsol optimized geometry
data_KCoRu2W
_chemical_formula_sum 'K1 Co1 Ru2 W1'
_cell_length_a 4.314
_cell_length_b 4.314
_cell_length_c 4.463
_cell_angle_alpha 90.00
_cell_angle_beta 90.00
_cell_angle_gamma 90.00
_space_group_name_H-M_alt 'P 1'
_space_group_IT_number 1
loop_
_space_group_symop_operation_xyz
'x,y,z'
loop_
_atom_site_label
_atom_site_type_symbol
_atom_site_fract_x
_atom_site_fract_y
_atom_site_fract_z
_atom_site_occupancy
Ru1 Ru 0.500 0.000 0.000 1
K1 K 0.000 0.000 0.000 1
W1 W 0.000 0.000 0.500 1
Ru2 Ru 0.000 0.500 0.000 1
Co1 Co 0.500 0.500 0.500 1
# Calculated volume: 83.1 Å³/f.u.
# E_form: 3.46 eV per atom

Entry 19:
# KCo2S2 GGA-PBEsol optimized geometry
data_KCo2S2
_chemical_formula_sum 'K1 Co2 S2'
_cell_length_a 3.664
_cell_length_b 3.664
_cell_length_c 6.739
_cell_angle_alpha 105.77
_cell_angle_beta 105.77
_cell_angle_gamma 90.00
_space_group_name_H-M_alt 'P 1'
_space_group_IT_number 1
loop_
_space_group_symop_operation_xyz
'x,y,z'
loop_
_atom_site_label
_atom_site_type_symbol
_atom_site_fract_x
_atom_site_fract_y
_atom_site_fract_z
_atom_site_occupancy
Co1 Co 0.250 0.750 0.500 1
S1 S 0.346 0.346 0.691 1
K1 K 0.000 0.000 0.000 1
Co2 Co 0.750 0.250 0.500 1
S2 S 0.654 0.654 0.309 1
# Calculated volume: 83.5 Å³/f.u.
# Energy relative to the elements, uncorrected: -68 kJ/mol of atoms

Entry 20:
# K2CoS GGA-PBEsol optimized geometry
data_K2CoS
_chemical_formula_sum 'K4 Co2 S2'
_cell_length_a 4.296
_cell_length_b 4.296
_cell_length_c 10.758
_cell_angle_alpha 101.52
_cell_angle_beta 101.52
_cell_angle_gamma 90.00
_space_group_name_H-M_alt 'P 1'
_space_group_IT_number 1
loop_
_space_group_symop_operation_xyz
'x,y,z'
loop_
_atom_site_label
_atom_site_type_symbol
_atom_site_fract_x
_atom_site_fract_y
_atom_site_fract_z
_atom_site_occupancy
K1 K 0.625 0.619 0.750 1
S1 S 0.500 0.500 0.000 1
K2 K 0.869 0.375 0.250 1
K3 K 0.381 0.875 0.250 1
S2 S 0.750 0.250 0.500 1
K4 K 0.125 0.131 0.750 1
Co1 Co 0.000 0.000 0.000 1
Co2 Co 0.250 0.750 0.500 1
# Calculated volume: 95.2 Å³/f.u.
# Energy relative to the elements, uncorrected: 60 kJ/mol of atoms

| no. | N(E_F) (states/eV/cell) | E_tot (eV per atom) |
| --- | --- | --- |
| 1 | 3.3 | -3.900 |
| 2 | 5.6 | -4.787 |
| 3 | 6.6 | -2.710 |
| 4 | 6.2 | -5.000 |
| 5 | 8.4 | -1.821 |
| 6 | 8.4 | -4.056 |
| 7 | 3.9 | -5.664 |
| 8 | 3.4 | -4.944 |
| 9 | 2.7 | -3.916 |
| 10 | 3.9 | -5.728 |
| 11 | 6.1 | -5.174 |
| 12 | 4.7 | -5.537 |
| 13 | 3.3 | -4.968 |
| 14 | 4.9 | -5.380 |
| 15 | 5.5 | -6.387 |
| 16 | 5.6 | -6.374 |
| 17 | 3.6 | -5.453 |
| 18 | 7.8 | -5.149 |
| 19 | 3.7 | -5.775 |
| 20 | 11.3 | -2.975 |